(1)
First-principles (PBE) data for a geometry-optimized BaMgPdPb structure, as listed in OQMD.

Geometry as POSCAR:
```
BaMgPdPb
1.0
4.212 -2.827 1.798
0.099 -5.349 -0.587
3.412 -2.261 -3.494
Pd Mg Ba Pb
1 1 1 1
Direct
0.000 0.000 0.000
0.750 0.750 0.750
0.250 0.250 0.250
0.500 0.500 0.500
```

Energy relative to the lowest polymorph listed for this composition: 20 meV per atom
SG: F-43m

***

(2)
First-principles (PBE) data for a geometry-optimized GdRePb structure, as listed in OQMD.

Geometry as POSCAR:
```
GdRePb
1.0
-2.915 -3.349 -1.761
-3.930 -1.252 2.408
-4.308 1.219 -1.662
Pb Gd Re
1 1 1
Direct
0.000 0.000 0.000
0.250 0.250 0.250
0.750 0.750 0.750
```

Energy relative to the lowest polymorph listed for this composition: 0 meV per atom
SG: F-43m

***

(3)
First-principles (PBE) data for a geometry-optimized CuNiSbPt structure, as listed in OQMD.

Geometry as POSCAR:
```
CuNiSbPt
1.0
0.000 3.115 3.115
3.115 0.000 3.115
3.115 3.115 0.000
Pt Sb Cu Ni
1 1 1 1
Direct
0.250 0.250 0.250
0.000 0.000 0.000
0.500 0.500 0.500
0.750 0.750 0.750
```

Energy relative to the lowest polymorph listed for this composition: 0 meV per atom
SG: F-43m

***

(4)
First-principles (PBE) data for a geometry-optimized TbEr2Ni4Ge4 structure, as listed in OQMD.

Geometry as POSCAR:
```
TbEr2Ni4Ge4
1.0
-2.031 3.366 6.740
2.031 -3.366 6.740
2.031 3.366 -6.740
Ni Tb Ge Er
4 1 4 2
Direct
0.019 0.323 0.696
0.981 0.677 0.304
0.626 0.323 0.304
0.374 0.677 0.696
0.000 0.000 0.000
0.307 0.500 0.807
0.218 0.218 0.000
0.693 0.500 0.193
0.782 0.782 0.000
0.370 0.870 0.500
0.630 0.130 0.500
```

SG: Immm
Final energy: -62.74 eV for the cell shown

***

(5)
First-principles (PBE) data for a geometry-optimized PaCdPt structure, as listed in OQMD.

Geometry as POSCAR:
```
PaCdPt
1.0
0.000 3.327 3.327
3.327 0.000 3.327
3.327 3.327 0.000
Pt Pa Cd
1 1 1
Direct
0.000 0.000 0.000
0.750 0.750 0.750
0.250 0.250 0.250
```

Energy relative to the elements: -0.43 eV/atom
SG: F-43m

***

(6)
First-principles (PBE) data for a geometry-optimized TaPS structure, as listed in OQMD.

Geometry as POSCAR:
```
TaPS
1.0
-1.719 2.376 5.964
1.719 -2.376 5.964
1.719 2.376 -5.964
Ta S P
2 2 2
Direct
0.123 0.123 0.000
0.877 0.877 0.000
0.287 0.787 0.500
0.713 0.213 0.500
0.263 0.500 0.763
0.737 0.500 0.237
```

SG: Immm
Final energy: -47.48 eV for the cell shown

***

(7)
First-principles (PBE) data for a geometry-optimized YCuSiPd structure, as listed in OQMD.

Geometry as POSCAR:
```
YCuSiPd
1.0
2.405 -1.460 3.604
0.687 2.777 3.567
-2.107 -0.820 3.974
Pd Si Cu Y
1 1 1 1
Direct
0.250 0.250 0.250
0.500 0.500 0.500
0.750 0.750 0.750
0.000 0.000 0.000
```

Energy relative to the lowest polymorph listed for this composition: 0 meV per atom
SG: F-43m

***

(8)
First-principles (PBE) data for a geometry-optimized ErBeNi structure, as listed in OQMD.

Geometry as POSCAR:
```
ErBeNi
1.0
0.000 3.088 3.088
3.088 0.000 3.088
3.088 3.088 0.000
Ni Be Er
1 1 1
Direct
0.750 0.750 0.750
0.250 0.250 0.250
0.000 0.000 0.000
```

Energy relative to the lowest polymorph listed for this composition: 535 meV per atom
SG: F-43m

***

(9)
First-principles (PBE) data for a geometry-optimized KZnP3O9 structure, as listed in OQMD.

Geometry as POSCAR:
```
KZnP3O9
1.0
5.037 2.908 2.295
-5.037 2.908 2.295
0.000 -5.816 2.295
P O K Zn
3 9 1 1
Direct
0.236 0.656 0.110
0.656 0.110 0.236
0.110 0.236 0.656
0.501 0.248 0.190
0.190 0.501 0.248
0.873 0.277 0.511
0.026 0.054 0.757
0.277 0.511 0.873
0.248 0.190 0.501
0.511 0.873 0.277
0.757 0.026 0.054
0.054 0.757 0.026
0.638 0.638 0.638
0.129 0.129 0.129
```

Energy relative to the lowest polymorph listed for this composition: 0 meV per atom
SG: R3

***

(10)
First-principles (PBE) data for a geometry-optimized Ag2SeO structure, as listed in OQMD.

Geometry as POSCAR:
```
Ag2SeO
1.0
1.867 0.588 -2.828
-3.262 4.080 -1.305
5.069 4.771 2.246
O Ag Se
2 4 2
Direct
0.000 0.000 0.000
0.000 0.500 0.000
0.868 0.250 0.264
0.571 0.250 0.858
0.429 0.750 0.142
0.132 0.750 0.736
0.207 0.250 0.587
0.793 0.750 0.413
```

Energy relative to the lowest polymorph listed for this composition: 172 meV per atom
SG: Cmcm

***

(11)
First-principles (PBE) data for a geometry-optimized LuCuReSi structure, as listed in OQMD.

Geometry as POSCAR:
```
LuCuReSi
1.0
-4.172 -1.488 0.445
-2.822 2.075 2.747
-3.392 2.357 -1.659
Re Lu Cu Si
1 1 1 1
Direct
0.250 0.250 0.250
0.500 0.500 0.500
0.750 0.750 0.750
0.000 0.000 0.000
```

Energy relative to the lowest polymorph listed for this composition: 0 meV per atom
SG: F-43m

***

(12)
First-principles (PBE) data for a geometry-optimized DyAuSeO structure, as listed in OQMD.

Geometry as POSCAR:
```
DyAuSeO
1.0
7.327 0.000 0.431
0.000 6.222 0.000
-0.355 0.000 6.158
Dy O Au Se
4 4 4 4
Direct
0.604 0.495 0.250
0.604 0.005 0.750
0.396 0.505 0.750
0.396 0.995 0.250
0.503 0.760 0.500
0.503 0.740 0.000
0.497 0.240 0.500
0.497 0.260 0.000
0.077 0.792 0.510
0.077 0.708 0.010
0.923 0.208 0.490
0.923 0.292 0.990
0.196 0.461 0.302
0.196 0.039 0.802
0.804 0.961 0.198
0.804 0.539 0.698
```

Energy relative to the lowest polymorph listed for this composition: 236 meV per atom
SG: P2_1/c

***

(13)
First-principles (PBE) data for a geometry-optimized HfAsW2 structure, as listed in OQMD.

Geometry as POSCAR:
```
HfAsW2
1.0
-3.989 -2.231 0.459
-3.795 2.301 1.183
-3.354 0.634 -3.074
W Hf As
2 1 1
Direct
0.750 0.750 0.750
0.000 0.000 0.000
0.250 0.250 0.250
0.500 0.500 0.500
```

SG: F-43m
Final energy: -39.35 eV for the cell shown

***

(14)
First-principles (PBE) data for a geometry-optimized YCdInTe3 structure, as listed in OQMD.

Geometry as POSCAR:
```
YCdInTe3
1.0
-6.808 -2.040 4.999
0.931 -4.539 -0.585
11.008 0.308 15.119
Y Cd Te In
4 4 12 4
Direct
0.268 0.250 0.540
0.232 0.750 0.040
0.732 0.750 0.460
0.768 0.250 0.960
0.419 0.250 0.841
0.581 0.750 0.159
0.919 0.250 0.659
0.081 0.750 0.341
0.233 0.750 0.206
0.626 0.250 0.561
0.733 0.750 0.294
0.767 0.250 0.794
0.505 0.750 0.924
0.995 0.250 0.424
0.126 0.250 0.939
0.374 0.750 0.439
0.495 0.250 0.076
0.005 0.750 0.576
0.267 0.250 0.706
0.874 0.750 0.061
0.944 0.250 0.198
0.056 0.750 0.802
0.444 0.250 0.302
0.556 0.750 0.698
```

Energy relative to the lowest polymorph listed for this composition: 80 meV per atom
SG: Pnma

***

(15)
First-principles (PBE) data for a geometry-optimized DyTmMg2Ag4 structure, as listed in OQMD.

Geometry as POSCAR:
```
DyTmMg2Ag4
1.0
-1.319 -3.850 2.712
2.066 -3.004 -3.259
5.983 0.377 3.445
Mg Tm Ag Dy
2 1 4 1
Direct
0.000 0.000 0.500
0.500 0.500 0.000
0.500 0.500 0.500
0.000 0.500 0.746
0.500 0.000 0.254
0.000 0.500 0.254
0.500 0.000 0.746
0.000 0.000 0.000
```

SG: P4/mmm
Final energy: -25.93 eV for the cell shown

***

(16)
First-principles (PBE) data for a geometry-optimized LuPaHg structure, as listed in OQMD.

Geometry as POSCAR:
```
LuPaHg
1.0
0.000 3.550 3.550
3.550 0.000 3.550
3.550 3.550 0.000
Hg Pa Lu
1 1 1
Direct
0.000 0.000 0.000
0.750 0.750 0.750
0.250 0.250 0.250
```

Energy relative to the elements: 0.45 eV/atom
Energy relative to the lowest polymorph listed for this composition: 0 meV per atom
SG: F-43m

***

(17)
First-principles (PBE) data for a geometry-optimized Rb2AgHgF6 structure, as listed in OQMD.

Geometry as POSCAR:
```
Rb2AgHgF6
1.0
-6.141 -0.361 -0.866
0.904 -3.640 -4.894
5.815 -6.735 6.083
Rb F Hg Ag
4 12 2 2
Direct
0.752 0.018 0.250
0.752 0.482 0.750
0.248 0.982 0.750
0.248 0.518 0.250
0.192 0.720 0.976
0.808 0.220 0.524
0.706 0.497 0.252
0.256 0.284 0.476
0.744 0.784 0.024
0.706 0.003 0.752
0.294 0.503 0.748
0.744 0.716 0.524
0.256 0.216 0.976
0.808 0.280 0.024
0.294 0.997 0.248
0.192 0.780 0.476
0.500 0.500 0.000
0.500 0.000 0.500
0.000 0.000 0.000
0.000 0.500 0.500
```

Energy relative to the lowest polymorph listed for this composition: 8 meV per atom
SG: P2_1/c

***

(18)
First-principles (PBE) data for a geometry-optimized MgScSiIr structure, as listed in OQMD.

Geometry as POSCAR:
```
MgScSiIr
1.0
-2.660 -3.648 -0.392
-2.503 -1.369 3.522
-4.506 0.481 -0.099
Si Mg Ir Sc
1 1 1 1
Direct
0.500 0.500 0.500
0.750 0.750 0.750
0.000 0.000 0.000
0.250 0.250 0.250
```

Energy relative to the lowest polymorph listed for this composition: 87 meV per atom
SG: F-43m

***

(19)
First-principles (PBE) data for a geometry-optimized Sm3Mg3Al2Hg structure, as listed in OQMD.

Geometry as POSCAR:
```
Sm3Mg3Al2Hg
1.0
-4.717 5.715 -1.463
0.707 -5.673 -4.938
-3.351 -2.232 2.085
Mg Al Hg Sm
3 2 1 3
Direct
0.754 0.754 0.500
0.000 0.246 0.500
0.246 0.000 0.500
0.333 0.667 0.500
0.667 0.333 0.500
0.000 0.000 0.000
0.000 0.579 0.000
0.421 0.421 0.000
0.579 0.000 0.000
```

SG: P-62m
Final energy: -29.93 eV for the cell shown

***

(20)
First-principles (PBE) data for a geometry-optimized TmScPt structure, as listed in OQMD.

Geometry as POSCAR:
```
TmScPt
1.0
0.000 3.228 3.228
3.228 0.000 3.228
3.228 3.228 0.000
Sc Tm Pt
1 1 1
Direct
0.000 0.000 0.000
0.750 0.750 0.750
0.250 0.250 0.250
```

Energy relative to the elements: -0.21 eV/atom
Energy relative to the lowest polymorph listed for this composition: 0 meV per atom
SG: F-43m

***

(21)
First-principles (PBE) data for a geometry-optimized Li2ScZn structure, as listed in OQMD.

Geometry as POSCAR:
```
Li2ScZn
1.0
-0.896 2.506 3.760
-0.040 4.599 -0.253
-3.981 2.292 0.345
Li Zn Sc
2 1 1
Direct
0.750 0.750 0.750
0.000 0.000 0.000
0.500 0.500 0.500
0.250 0.250 0.250
```

SG: F-43m
Final energy: -11.58 eV for the cell shown

***

(22)
First-principles (PBE) data for a geometry-optimized YAgAs2 structure, as listed in OQMD.

Geometry as POSCAR:
```
YAgAs2
1.0
0.000 3.475 3.475
3.475 0.000 3.475
3.475 3.475 0.000
As Ag Y
2 1 1
Direct
0.250 0.250 0.250
0.500 0.500 0.500
0.750 0.750 0.750
0.000 0.000 0.000
```

SG: F-43m
Final energy: -19.58 eV for the cell shown

***

(23)
First-principles (PBE) data for a geometry-optimized Fe3Mo3C structure, as listed in OQMD.

Geometry as POSCAR:
```
Fe3Mo3C
1.0
5.525 5.525 0.000
-5.525 0.000 5.525
5.525 -5.525 0.000
Fe Mo C
12 12 4
Direct
0.394 0.596 0.798
0.702 0.596 0.798
0.500 0.500 0.000
0.702 0.904 0.106
0.298 0.096 0.894
0.000 0.000 0.000
0.606 0.404 0.202
0.702 0.904 0.798
0.298 0.096 0.202
0.500 0.500 0.500
0.298 0.404 0.202
0.500 0.000 0.000
0.923 0.750 0.577
0.673 0.250 0.827
0.327 0.154 0.577
0.077 0.654 0.827
0.327 0.750 0.577
0.673 0.846 0.423
0.327 0.750 0.173
0.923 0.750 0.173
0.077 0.250 0.423
0.673 0.250 0.423
0.923 0.346 0.173
0.077 0.250 0.827
0.000 0.500 0.000
0.500 0.000 0.500
0.000 0.500 0.500
0.000 0.000 0.500
```

SG: Fd-3m
Final energy: -267.89 eV for the cell shown

***

(24)
First-principles (PBE) data for a geometry-optimized Cu9Te structure, as listed in OQMD.

Geometry as POSCAR:
```
Cu9Te
1.0
-2.279 1.122 -1.074
-0.523 -2.351 -1.344
-23.174 -14.370 34.164
Cu Te
18 2
Direct
0.000 0.500 0.375
0.500 0.000 0.266
0.500 0.000 0.698
0.000 0.500 0.446
0.500 0.000 0.192
0.000 0.500 0.302
0.000 0.500 0.734
0.500 0.000 0.625
0.500 0.000 0.482
0.000 0.500 0.662
0.500 0.000 0.554
0.500 0.000 0.338
0.000 0.500 0.808
0.000 0.500 0.518
0.500 0.000 0.771
0.500 0.000 0.410
0.000 0.500 0.229
0.000 0.500 0.590
0.500 0.000 0.867
0.000 0.500 0.133
```

Energy relative to the lowest polymorph listed for this composition: 46 meV per atom
SG: P4/nmm